No. 1
DFT (GGA-PBE) results for an optimized crystal structure of BeNbFe.

Output
Crystal system: orthorhombic
D(E_F) (states/eV/cell): 9.6
Formation enthalpy at 0 K (eV/atom): -0.199
Relative energy among the computed polymorphs (meV per atom): 0
VASP energy (eV per atom): -7.618

Lattice parameters (Å, degrees): 4.7072 4.7558 6.5564 90.00 90.00 90.00
Space group Imma (No. 74)
Inequivalent atoms, fractional coordinates:
Be (0.2500, 0.2500, 0.2500) (multiplicity 4)
Nb (0.0000, 0.2500, 0.6242) (multiplicity 4)
Fe (0.0000, 0.0000, 0.0000) (multiplicity 4)

***

No. 2
DFT (GGA-PBE) results for an optimized crystal structure of BeNbFe3.

Output
Crystal system: cubic
D(E_F) (states/eV/cell): 4.4
Formation enthalpy at 0 K (eV/atom): 0.290
Relative energy among the computed polymorphs (meV per atom): 15
VASP energy (eV per atom): -7.547

Lattice parameters (Å, degrees): 3.8679 3.8679 3.8679 90.00 90.00 90.00
Space group Pm-3m (No. 221)
Inequivalent atoms, fractional coordinates:
Be (0.0000, 0.0000, 0.0000) (multiplicity 1)
Nb (0.5000, 0.5000, 0.5000) (multiplicity 1)
Fe (0.0000, 0.0000, 0.5000) (multiplicity 3)